An optimized crystal structure of SrSn3P3, computed with GGA-PBE.

Energy relative to the elements = -30.8 kJ per mole of atoms

Lattice parameters (Å, degrees): 10.5005 10.5005 10.5005 37.84 37.84 37.84
Closest atoms and distances in Å follow each position.
Positions (direct):
Sr 0.1667 0.1667 0.1667  6 P 3.07
Sr 0.8333 0.8333 0.8333  6 P 3.07
Sn 0.0475 0.3834 0.7182  3 P 2.64
Sn 0.2818 0.9525 0.6166  3 P 2.64
Sn 0.3834 0.7182 0.0475  3 P 2.64
Sn 0.6166 0.2818 0.9525  3 P 2.64
Sn 0.7182 0.0475 0.3834  3 P 2.64
Sn 0.9525 0.6166 0.2818  3 P 2.64
P 0.0970 0.7614 0.4292  3 Sn 2.64
P 0.2386 0.5708 0.9030  3 Sn 2.64
P 0.4292 0.0970 0.7614  3 Sn 2.64
P 0.5708 0.9030 0.2386  3 Sn 2.64
P 0.7614 0.4292 0.0970  3 Sn 2.64
P 0.9030 0.2386 0.5708  3 Sn 2.64